Pa3As3S: optimized geometry, PBE-GGA. Values from VASP.

Geometry as Quantum ESPRESSO input:
```
&SYSTEM
  ibrav = 0, nat = 14, ntyp = 3
/
ATOMIC_SPECIES
Pa 231.04 Pa.upf
As 74.92 As.upf
S 32.06 S.upf
ATOMIC_POSITIONS crystal
Pa 0.060 0.060 0.267
Pa 0.158 0.487 0.784
Pa 0.487 0.158 0.784
Pa 0.513 0.842 0.216
Pa 0.842 0.513 0.216
Pa 0.940 0.940 0.733
As 0.171 0.829 0.000
As 0.207 0.793 0.500
As 0.401 0.401 0.131
As 0.599 0.599 0.869
As 0.793 0.207 0.500
As 0.829 0.171 0.000
S 0.273 0.273 0.559
S 0.727 0.727 0.441
CELL_PARAMETERS angstrom
3.844 -6.139 0.000
3.844 6.139 0.000
-0.018 0.000 7.238
```

## Properties
**ρ**: 9.24 g/cm3
**Uncorrected formation energy**: -0.875 eV per atom
**Total magnetization**: 2.4 μB/f.u.
**Energy**: -7.5273 eV/atom

LaHoZnAu: optimized geometry, PBE-GGA. Values from VASP.

Geometry as Quantum ESPRESSO input:
```
&SYSTEM
  ibrav = 0, nat = 4, ntyp = 4
/
ATOMIC_SPECIES
La 138.91 La.upf
Ho 164.93 Ho.upf
Zn 65.41 Zn.upf
Au 196.97 Au.upf
ATOMIC_POSITIONS crystal
La 0.000 0.000 0.000
Ho 0.000 0.000 0.498
Zn 0.500 0.500 0.271
Au 0.500 0.500 0.712
CELL_PARAMETERS angstrom
3.656 0.000 0.000
0.000 3.656 0.000
0.000 0.000 7.393
```

## Properties
**Offset from the most stable computed form**: 0 meV per atom
**ρ**: 9.51 g/cm3
**Total magnetization**: 0.0 μB/f.u.
**Energy**: -4.0922 eV/atom

OsPt2Pb: optimized geometry, PBE-GGA. Values from VASP.

Geometry as Quantum ESPRESSO input:
```
&SYSTEM
  ibrav = 0, nat = 4, ntyp = 3
/
ATOMIC_SPECIES
Os 190.23 Os.upf
Pt 195.08 Pt.upf
Pb 207.20 Pb.upf
ATOMIC_POSITIONS crystal
Os 0.000 0.000 0.000
Pt 0.000 0.500 0.500
Pt 0.500 0.000 0.500
Pb 0.500 0.500 0.000
CELL_PARAMETERS angstrom
3.986 0.000 0.000
0.000 4.009 0.000
0.000 0.000 4.273
```

## Properties
**ρ**: 19.16 g/cm3
**Total magnetization**: 0.0 μB/f.u.
**Energy**: -6.3730 eV/atom

KRbF: optimized geometry, PBE-GGA. Values from VASP.

Geometry as Quantum ESPRESSO input:
```
&SYSTEM
  ibrav = 0, nat = 3, ntyp = 3
/
ATOMIC_SPECIES
K 39.10 K.upf
Rb 85.47 Rb.upf
F 19.00 F.upf
ATOMIC_POSITIONS crystal
K 0.000 0.000 0.000
Rb 0.222 0.222 0.000
F 0.618 0.618 0.000
CELL_PARAMETERS angstrom
-1.839 1.839 7.493
1.839 -1.839 7.493
1.839 1.839 -7.493
```

## Properties
**Offset from the most stable computed form**: 126 meV per atom
**ρ**: 2.35 g/cm3
**Uncorrected formation energy**: -1.577 eV per atom
**Total magnetization**: 0.0 μB/f.u.
**Energy**: -2.8892 eV/atom

Dy2Ga3Ni: optimized geometry, PBE-GGA. Values from VASP.

Geometry as Quantum ESPRESSO input:
```
&SYSTEM
  ibrav = 0, nat = 6, ntyp = 3
/
ATOMIC_SPECIES
Dy 162.50 Dy.upf
Ga 69.72 Ga.upf
Ni 58.69 Ni.upf
ATOMIC_POSITIONS crystal
Dy 0.000 0.000 0.000
Dy 0.086 0.086 0.588
Ga 0.371 0.371 0.175
Ga 0.399 0.399 0.613
Ga 0.711 0.711 0.390
Ni 0.715 0.715 0.017
CELL_PARAMETERS angstrom
5.106 -2.179 0.000
5.106 2.179 0.000
-4.835 0.000 5.206
```

## Properties
**ρ**: 8.50 g/cm3
**Total magnetization**: 0.0 μB/f.u.
**Energy**: -4.6589 eV/atom

Ba2ZnInSe5: optimized geometry, PBE-GGA. Values from VASP.

Geometry as Quantum ESPRESSO input:
```
&SYSTEM
  ibrav = 0, nat = 18, ntyp = 4
/
ATOMIC_SPECIES
Ba 137.33 Ba.upf
Zn 65.41 Zn.upf
In 114.82 In.upf
Se 78.96 Se.upf
ATOMIC_POSITIONS crystal
Ba 0.116 0.884 0.500
Ba 0.119 0.881 0.122
Ba 0.881 0.119 0.622
Ba 0.884 0.116 0.000
Zn 0.242 0.758 0.849
Zn 0.758 0.242 0.349
In 0.435 0.565 0.280
In 0.565 0.435 0.780
Se 0.039 0.961 0.890
Se 0.283 0.717 0.476
Se 0.304 0.696 0.237
Se 0.361 0.639 0.814
Se 0.491 0.509 0.099
Se 0.509 0.491 0.599
Se 0.639 0.361 0.314
Se 0.696 0.304 0.737
Se 0.717 0.283 0.976
Se 0.961 0.039 0.390
CELL_PARAMETERS angstrom
2.148 -10.007 0.000
2.148 10.007 0.000
0.000 0.000 12.801
```

## Properties
**ρ**: 5.13 g/cm3
**Uncorrected formation energy**: -1.114 eV per atom
**Total magnetization**: 0.7 μB/f.u.
**Energy**: -3.9230 eV/atom